[1]
The following is a DFT calculation (GGA-PBEsol) of a relaxed NbCuP2O8 crystal.

Output
Electronic total energy = -7.7480 eV/atom
Magnetization = 0.000 μB per atom
Formation energy without anion corrections = -2.02 eV per atom
Theoretical density = 3.79 g/cm³

```
data_NbCuP2O8
_cell_length_a 5.117
_cell_length_b 6.086
_cell_length_c 9.754
_cell_angle_alpha 90.00
_cell_angle_beta 91.88
_cell_angle_gamma 90.00
_space_group_name_H-M_alt 'P 1 21/m 1'
_space_group_IT_number 11
loop_
_space_group_symop_operation_xyz
'x,y,z'
'-x,-y,-z'
'-x,y+1/2,-z'
'x,-y+1/2,z'
loop_
_atom_site_label
_atom_site_type_symbol
_atom_site_fract_x
_atom_site_fract_y
_atom_site_fract_z
Nb1 Nb 0.069 0.250 0.274
Cu1 Cu 0.404 0.250 0.784
P1 P 0.072 0.750 0.404
P2 P 0.356 0.750 0.908
O1 O 0.147 0.750 0.560
O2 O 0.190 0.557 0.840
O3 O 0.204 0.544 0.339
O4 O 0.222 0.250 0.613
O5 O 0.367 0.750 0.060
O6 O 0.368 0.250 0.153
```



[2]
The following is a DFT calculation (GGA-PBEsol) of a relaxed Ta2AlC crystal.

Output
Electronic total energy = -10.2809 eV/atom
Density of states at the Fermi level = 1.39 states/eV/f.u.
Magnetization = 0.000 μB per atom
Formation energy from the elements = -0.57 eV per atom
Theoretical density = 11.78 g/cm³

```
data_Ta2AlC
_cell_length_a 3.0684
_cell_length_b 3.0684
_cell_length_c 13.8646
_cell_angle_alpha 90.00
_cell_angle_beta 90.00
_cell_angle_gamma 120.00
_space_group_name_H-M_alt 'P 63/m m c'
_space_group_IT_number 194
_space_group_name_Hall '-P 6c 2c'
loop_
_atom_site_label
_atom_site_type_symbol
_atom_site_fract_x
_atom_site_fract_y
_atom_site_fract_z
Ta1 Ta 0.3333 0.6667 0.0900
Al1 Al 0.3333 0.6667 0.7500
C1 C 0.0000 0.0000 0.0000
```



Question: Which formula does entry 2 have?
Answer: Ta2AlC